Material: NdPd3Pt2
Method: DFT, PBE-GGA
State: optimized geometry

Output
ΔE_f = -3.535 eV/f.u.

a b c (Å): 5.3999 5.3999 4.4470
angles (deg): 90.00 90.00 120.00
Space group P6/mmm (No. 191)
Inequivalent atoms, fractional coordinates:
Nd (0.0000, 0.0000, 0.0000) x1
Pd (0.0000, 0.5000, 0.5000) x3
Pt (0.3333, 0.6667, 0.0000) x2

Material: Ce5B2C5
Method: DFT, PBE-GGA
State: optimized geometry

Output
ΔE_f = -1.968 eV/f.u.

a b c (Å): 13.694 3.235 9.550
angles (deg): 90.00 123.96 90.00
Space group C2/m (No. 12)
Inequivalent atoms, fractional coordinates:
Ce (0.000, 0.000, 0.000) x2
Ce (0.112, 0.500, 0.438) x4
Ce (0.167, 0.500, 0.801) x4
B (0.185, 0.500, 0.230) x4
C (0.000, 0.000, 0.500) x2
C (0.169, 0.500, 0.054) x4
C (0.183, 0.000, 0.304) x4

Material: BaTaZn
Method: DFT, PBE-GGA
State: optimized geometry

Output
ΔE_f = 2.421 eV/f.u.
Excess energy over the best structure of this formula in the dataset = 230 meV/atom

a b c (Å): 3.2757 3.2757 7.9223
angles (deg): 90.00 90.00 120.00
Space group P3m1 (No. 156)
Inequivalent atoms, fractional coordinates:
Ba (0.0000, 0.0000, 0.0000) x1
Ta (0.3333, 0.6667, 0.3803) x1
Zn (0.6667, 0.3333, 0.6342) x1

Material: Pu2Ni3Sn5
Method: DFT, PBE-GGA
State: optimized geometry

Output
ΔE_f = -3.212 eV/f.u.

a b c (Å): 4.428 26.229 7.094
angles (deg): 90.00 90.00 90.00
Space group Cmc2_1 (No. 36)
Inequivalent atoms, fractional coordinates:
Pu (0.000, 0.025, 0.000) x4
Pu (0.000, 0.329, 0.981) x4
Ni (0.000, 0.106, 0.251) x4
Ni (0.000, 0.279, 0.471) x4
Ni (0.000, 0.450, 0.218) x4
Sn (0.000, 0.094, 0.624) x4
Sn (0.000, 0.205, 0.188) x4
Sn (0.000, 0.212, 0.761) x4
Sn (0.000, 0.379, 0.493) x4
Sn (0.000, 0.452, 0.831) x4

Material: Sr2Ge4Pd3
Method: DFT, PBE-GGA
State: optimized geometry

Output
ΔE_f = -4.873 eV/f.u.

a b c (Å): 5.636 10.518 12.728
angles (deg): 90.00 90.00 90.00
Space group Fmmm (No. 69)
Inequivalent atoms, fractional coordinates:
Sr (0.000, 0.000, 0.139) x8
Ge (0.000, 0.180, 0.343) x16
Pd (0.000, 0.000, 0.500) x4
Pd (0.250, 0.250, 0.000) x8

Material: Ca2PuSb3
Method: DFT, PBE-GGA
State: optimized geometry

Output
Formation energy from raw total energies = -16.29 kcal/mol of atoms

a b c (Å): 4.519 6.284 13.472
angles (deg): 90.00 90.00 90.00
Space group Immm (No. 71)
Inequivalent atoms, fractional coordinates:
Ca (0.000, 0.000, 0.172) x4
Pu (0.000, 0.000, 0.500) x2
Sb (0.000, 0.500, 0.155) x4
Sb (0.000, 0.500, 0.500) x2

Which M_tot belongs to each record? In order, 0.0; 0.0; 0.0; 10.9; 0.0; 3.9 μB/f.u..
Which VASP energy belongs to each record? In order, -35.96; -182.22; -12.63; -276.93; -169.14; -69.88 eV/cell.